DFT (PBE) results for crystalline YTl2Sb at its relaxed geometry.

a b c (Å): 8.6805 8.6805 6.9061
angles (deg): 51.06 51.06 90.00
Last column: nearest neighbours and their distance in Å.
Positions (direct):
Sb1 0.7500 0.2500 0.5000  4 Tl 3.10, 2 Y 3.17
Sb2 0.0000 0.0000 0.0000  4 Tl 3.10, 2 Y 3.17
Tl1 0.1136 0.6250 0.2500  2 Sb 3.10, 2 Tl 3.17, 2 Y 3.24
Tl2 0.6364 0.1250 0.2500  2 Sb 3.10, 2 Tl 3.17, 2 Y 3.24
Tl3 0.8750 0.8864 0.7500  2 Sb 3.10, 2 Tl 3.17, 2 Y 3.24
Tl4 0.3750 0.3636 0.7500  2 Sb 3.10, 2 Tl 3.17, 2 Y 3.24
Y1 0.2500 0.7500 0.5000  2 Sb 3.17, 4 Tl 3.24
Y2 0.5000 0.5000 0.0000  2 Sb 3.17, 4 Tl 3.24

Results
The density comes out at 8.63 Mg/m³. Its space-group type is I-42d. For the energy above the lowest structure with this stoichiometry, the calculation gives 0.190 eV/atom. For the raw total energy, the calculation gives -32.07 eV per cell. The volume comes out at 29.814 Å³ per atom.